(1)
Material: Be4ZnIn
Method: DFT, meta-GGA SCAN
State: PBEsol geometry

The structure in POSCAR format:
```
Be4ZnIn
1.0
-2.0339 -0.6234 4.0688
-0.9769 -4.2449 1.4518
2.3571 -1.8326 3.4880
Be Zn In
4 1 1
direct
0.3737 0.3737 0.3737
0.3737 0.3737 0.8789
0.8789 0.3737 0.3737
0.3737 0.8789 0.3737
0.0000 0.0000 0.0000
0.7500 0.7500 0.7500
```

Properties
Calculated total energy   -62.84 eV/f.u.
Total magnetic moment   0.0000 μB per atom
DOS at the Fermi energy   1.17 states/eV per cell
Density   5.25 g cm⁻³
ΔH_f (0 K)   0.247 eV/atom

---

(2)
Material: NaSmP2S6
Method: DFT, meta-GGA SCAN
State: PBEsol geometry

The structure in POSCAR format:
```
NaSmP2S6
1.0
7.2927 0.0000 0.0000
0.0000 10.9371 -0.0650
0.0000 -4.2304 10.7381
Na Sm P S
4 4 8 24
direct
0.8906 0.1275 0.3570
0.6094 0.6275 0.3570
0.3906 0.3725 0.6430
0.1094 0.8725 0.6430
0.6098 0.0875 0.8448
0.8902 0.5875 0.8448
0.1098 0.4125 0.1552
0.3902 0.9125 0.1552
0.3834 0.2541 0.3062
0.6166 0.7459 0.6938
0.8834 0.2459 0.6938
0.1166 0.7541 0.3062
0.3967 0.7480 0.8261
0.8967 0.7520 0.1739
0.1033 0.2480 0.8261
0.6033 0.2520 0.1739
0.1891 0.4377 0.9100
0.5075 0.8418 0.5926
0.2956 0.1277 0.7160
0.7044 0.8723 0.2840
0.3185 0.6485 0.1910
0.3109 0.9377 0.9100
0.1815 0.1485 0.1910
0.4756 0.3151 0.0483
0.9756 0.1849 0.9517
0.2044 0.6277 0.7160
0.4925 0.1582 0.4074
0.6815 0.3515 0.8090
0.6891 0.0623 0.0900
0.3001 0.4429 0.3827
0.1999 0.9429 0.3827
0.8185 0.8515 0.8090
0.7956 0.3723 0.2840
0.8001 0.0571 0.6173
0.5244 0.6849 0.9517
0.6999 0.5571 0.6173
0.8109 0.5623 0.0900
0.0244 0.8151 0.0483
0.0075 0.6582 0.4074
0.9925 0.3418 0.5926
```

Properties
Calculated total energy   -138.20 eV/f.u.
Total magnetic moment   0.0000 μB per atom
Energy relative to the elements, uncorrected   -1.10 eV per atom
DOS at the Fermi energy   0.00 states/eV per cell
Density   3.32 g cm⁻³

---

(3)
Material: YAl5
Method: DFT, meta-GGA SCAN
State: PBEsol geometry

The structure in POSCAR format:
```
YAl5
1.0
-0.4490 1.7721 -2.4485
0.3811 -2.4224 -1.8231
-11.5852 -2.2149 0.5214
Y Al
1 5
direct
0.5000 0.5000 0.0000
0.0000 0.0000 0.8089
0.0000 0.0000 0.1911
0.5000 0.5000 0.6564
0.5000 0.5000 0.3436
0.0000 0.0000 0.5000
```

Properties
Calculated total energy   -66.99 eV/f.u.
Total magnetic moment   0.0736 μB per atom
DOS at the Fermi energy   2.15 states/eV per cell
Density   3.37 g cm⁻³
ΔH_f (0 K)   -0.064 eV/atom

---

(4)
Material: K2NaAsP
Method: DFT, meta-GGA SCAN
State: PBEsol geometry

The structure in POSCAR format:
```
K2NaAsP
1.0
-3.1862 -2.2177 -3.0372
0.2133 -4.5379 3.0897
-4.1864 1.8658 3.0294
P As K Na
1 1 2 1
direct
0.5000 0.0000 0.0000
0.5000 0.5000 0.5000
0.0000 0.0000 0.5000
0.0000 0.5000 0.0000
0.0000 0.0000 0.0000
```

Properties
Calculated total energy   -49.83 eV/f.u.
Total magnetic moment   0.0002 μB per atom
DOS at the Fermi energy   2.60 states/eV per cell
Density   2.31 g cm⁻³
ΔH_f (0 K)   0.326 eV/atom

---

(5)
Material: Ba2SbRu
Method: DFT, meta-GGA SCAN
State: PBEsol geometry

The structure in POSCAR format:
```
Ba2SbRu
1.0
5.3372 0.0000 0.0000
2.6686 4.6222 0.0000
2.6686 1.5407 4.3578
Ba Ru Sb
2 1 1
direct
0.0000 0.0000 0.0000
0.7500 0.7500 0.7500
0.5000 0.5000 0.5000
0.2500 0.2500 0.2500
```

Properties
Calculated total energy   -150.59 eV/f.u.
Total magnetic moment   0.2519 μB per atom
Energy relative to the elements, uncorrected   0.15 eV per atom
DOS at the Fermi energy   5.10 states/eV per cell
Density   7.68 g cm⁻³

---

(6)
Material: MnSb2Cl
Method: DFT, meta-GGA SCAN
State: PBEsol geometry

The structure in POSCAR format:
```
MnSb2Cl
1.0
4.9990 -0.0022 -0.0036
-1.8297 4.6475 -0.0282
-1.8297 -2.1299 4.1308
Sb Mn Cl
2 1 1
direct
0.0000 0.0000 0.5000
0.0000 0.5000 0.0000
0.5000 0.0000 0.0000
0.5000 0.5000 0.5000
```

Properties
Calculated total energy   -101.12 eV/f.u.
Total magnetic moment   1.1607 μB per atom
Energy relative to the elements, uncorrected   -0.09 eV per atom
DOS at the Fermi energy   1.25 states/eV per cell
Density   5.80 g cm⁻³
Polymorph energy (0 for the lowest one)   118 meV per atom

---

(7)
Material: ScReIr
Method: DFT, meta-GGA SCAN
State: PBEsol geometry

The structure in POSCAR format:
```
ScReIr
1.0
4.2782 0.0000 0.0000
2.1391 3.7050 0.0000
2.1391 1.2350 3.4931
Ir Re Sc
1 1 1
direct
0.2500 0.2500 0.2500
0.0000 0.0000 0.0000
0.5000 0.5000 0.5000
```

Properties
Calculated total energy   -156.75 eV/f.u.
Total magnetic moment   0.0000 μB per atom
DOS at the Fermi energy   3.38 states/eV per cell
Density   12.70 g cm⁻³
ΔH_f (0 K)   -0.105 eV/atom

---

(8)
Material: CoPdIN2
Method: DFT, meta-GGA SCAN
State: PBEsol geometry

The structure in POSCAR format:
```
CoPdIN2
1.0
3.7167 0.0000 0.0000
0.0000 3.7167 0.0000
0.0000 0.0000 7.2626
I Co Pd N
1 1 1 2
direct
0.0000 0.0000 0.5000
0.5000 0.5000 0.5000
0.0000 0.0000 0.0000
0.0000 0.5000 0.0000
0.5000 0.0000 0.0000
```

Properties
Calculated total energy   -98.40 eV/f.u.
Total magnetic moment   0.9711 μB per atom
Energy relative to the elements, uncorrected   1.40 eV per atom
DOS at the Fermi energy   1.98 states/eV per cell
Density   5.30 g cm⁻³

---

(9)
Material: Be3In
Method: DFT, meta-GGA SCAN
State: PBEsol geometry

The structure in POSCAR format:
```
Be3In
1.0
-0.4639 -2.3438 2.7935
3.5482 0.3594 0.8908
-0.8411 2.8088 2.2170
Be In
3 1
direct
0.0000 0.5000 0.5000
0.5000 0.0000 0.5000
0.5000 0.5000 0.0000
0.0000 0.0000 0.0000
```

Properties
Calculated total energy   -44.37 eV/f.u.
Total magnetic moment   0.0000 μB per atom
DOS at the Fermi energy   1.52 states/eV per cell
Density   4.74 g cm⁻³
ΔH_f (0 K)   0.519 eV/atom
Polymorph energy (0 for the lowest one)   14 meV per atom

---

(10)
Material: CuIrPt2
Method: DFT, meta-GGA SCAN
State: PBEsol geometry

The structure in POSCAR format:
```
CuIrPt2
1.0
2.7023 0.0000 0.0000
-1.3511 4.4732 -0.0065
0.0000 -0.8212 4.6262
Ir Pt Cu
1 2 1
direct
0.2471 0.4942 0.7572
0.9968 0.9936 0.9849
0.7535 0.5070 0.2641
0.5026 0.0052 0.4937
```

Properties
Calculated total energy   -226.76 eV/f.u.
Total magnetic moment   0.0001 μB per atom
DOS at the Fermi energy   4.04 states/eV per cell
Density   19.19 g cm⁻³
ΔH_f (0 K)   -0.019 eV/atom
Polymorph energy (0 for the lowest one)   63 meV per atom

---

(11)
Material: Ta2InPt
Method: DFT, meta-GGA SCAN
State: PBEsol geometry

The structure in POSCAR format:
```
Ta2InPt
1.0
2.9233 0.0000 0.0000
0.0000 4.8992 0.0034
-1.4616 -1.0185 4.8625
In Pt Ta
1 1 2
direct
0.5000 0.0000 0.0000
0.0000 0.5000 0.0000
0.2571 0.2618 0.5142
0.7429 0.7382 0.4858
```

Properties
Calculated total energy   -237.37 eV/f.u.
Total magnetic moment   0.0000 μB per atom
DOS at the Fermi energy   3.24 states/eV per cell
Density   16.02 g cm⁻³
ΔH_f (0 K)   -0.156 eV/atom

---

(12)
Material: ZnNiAs2O7
Method: DFT, meta-GGA SCAN
State: PBEsol geometry

The structure in POSCAR format:
```
ZnNiAs2O7
1.0
-2.5429 -6.6536 0.4979
7.7946 -2.8333 1.9463
-0.5331 4.1865 8.2297
Zn Ni As O
4 4 8 28
direct
0.3791 0.9345 0.1147
0.1209 0.4345 0.3853
0.6209 0.0655 0.8853
0.8791 0.5655 0.6147
0.1286 0.0657 0.3215
0.3714 0.5657 0.1785
0.8714 0.9343 0.6785
0.6286 0.4343 0.8215
0.6820 0.2408 0.2319
0.8180 0.7408 0.2681
0.3180 0.7592 0.7681
0.1820 0.2592 0.7319
0.0565 0.2763 0.0397
0.4435 0.7763 0.4603
0.9435 0.7237 0.9603
0.5565 0.2237 0.5397
0.8061 0.2625 0.9401
0.6939 0.7625 0.5599
0.1939 0.7375 0.0599
0.3061 0.2375 0.4401
0.5774 0.4185 0.1850
0.9226 0.9185 0.3150
0.4226 0.5815 0.8150
0.0774 0.0815 0.6850
0.5777 0.0972 0.1010
0.9223 0.5972 0.3990
0.4223 0.9028 0.8990
0.0777 0.4028 0.6010
0.6762 0.1689 0.4091
0.8238 0.6689 0.0909
0.3238 0.8311 0.5909
0.1762 0.3311 0.9091
0.6383 0.0665 0.6592
0.8617 0.5665 0.8408
0.3617 0.9335 0.3408
0.1383 0.4335 0.1592
0.4353 0.2532 0.7719
0.0647 0.7532 0.7281
0.5647 0.7468 0.2281
0.9353 0.2468 0.2719
0.6551 0.4011 0.6166
0.8449 0.9011 0.8834
0.3449 0.5989 0.3834
0.1551 0.0989 0.1166
```

Properties
Calculated total energy   -128.98 eV/f.u.
Total magnetic moment   0.1784 μB per atom
Energy relative to the elements, uncorrected   -1.39 eV per atom
DOS at the Fermi energy   0.00 states/eV per cell
Density   4.84 g cm⁻³

---

Question: Number 6 is which compound?
Answer: MnSb2Cl

---

Question: The highest density belongs to which entry?
Answer: CuIrPt2

---

Question: Which of these has the highest DOS at the Fermi energy?
Answer: Ba2SbRu

---

Question: What is the total magnetic moment in the ninth record?
Answer: 0.0000 μB per atom